This record from Alexandria describes CsMn2VI8 after structural relaxation. The functional is PBE.

The energy relative to the elements, uncorrected comes out at -6.35 eV per formula unit. The calculation puts the total magnetic moment at 12.000 μB/f.u. For the density of states at the Fermi level, the calculation gives 16.18 states/eV/cell. The calculation puts the volume at 528 Å³/f.u. Its crystal system is trigonal.

The structure belongs to space group R32 (No. 155, hexagonal axes); the cell edges are 7.1734, 7.1734 and 35.5189 Å and the angles 90.00°, 90.00° and 120.00°. Symmetry generates all atoms from Cs at (0.0000, 0.0000, 0.0000), Mn at (0.0000, 0.0000, 0.2385), V at (0.0000, 0.0000, 0.5000), I at (0.0000, 0.0000, 0.3127) and I at (0.0194, 0.3129, 0.5524).

=====

This record from Alexandria describes Ba4PdCl after structural relaxation. The functional is PBE.

The energy relative to the elements, uncorrected comes out at -4.70 eV per formula unit. The calculation puts the total magnetic moment at 0.000 μB/f.u. For the density of states at the Fermi level, the calculation gives 11.33 states/eV/cell. The calculation puts the volume at 289 Å³/f.u. Its crystal system is monoclinic.

The structure belongs to space group C2/m (No. 12); the cell edges are 15.4087, 4.5863 and 8.3522 Å and the angles 90.00°, 102.00° and 90.00°. Symmetry generates all atoms from Ba at (0.1181, 0.0000, 0.3866), Ba at (0.1254, 0.5000, 0.8560), Pd at (0.0000, 0.5000, 0.5000) and Cl at (0.0000, 0.0000, 0.0000).